(1)
Entry from Alexandria: a geometry-optimized MnCoSe2 structure (PBE).

Cell lengths 4.5261, 4.5261, 4.5261 Å; angles 60.00, 60.00, 60.00 degrees
Closest atoms and distances in Å follow each position.
Fractional coordinates of all 4 atoms:
Co: 0.5000 0.5000 0.5000  4 Mn 2.77, 4 Se 2.77
Mn: 0.7500 0.7500 0.7500  4 Se 2.77, 4 Co 2.77
Se: 0.0000 0.0000 0.0000  4 Se 2.77, 4 Mn 2.77
Se: 0.2500 0.2500 0.2500  4 Co 2.77, 4 Se 2.77

Calculated values
The uncorrected formation energy is 0.568 eV per atom. The calculation puts the energy above the most stable polymorph in this dataset at 921 meV/atom. The calculation puts the volume at 65.6 Å³ per cell. The value obtained for the total energy is -5.243 eV per atom.

---

(2)
Entry from Alexandria: a geometry-optimized PmHfSe2O structure (PBE).

Cell lengths 3.8963, 3.8963, 13.7091 Å; angles 90.00, 90.00, 90.00 degrees
Closest atoms and distances in Å follow each position.
Fractional coordinates of all 10 atoms:
Pm: 0.5000 0.0000 0.5894  4 O 2.30
Pm: 0.0000 0.5000 0.4106  4 O 2.30
Hf: 0.5000 0.0000 0.0970  6 Se 2.57-2.79
Hf: 0.0000 0.5000 0.9030  6 Se 2.57-2.79
Se: 0.0000 0.5000 0.7154  1 Hf 2.57
Se: 0.0000 0.5000 0.1064  5 Hf 2.76-2.79
Se: 0.5000 0.0000 0.8936  5 Hf 2.76-2.79
Se: 0.5000 0.0000 0.2846  1 Hf 2.57
O: 0.0000 0.0000 0.5000  4 Pm 2.30
O: 0.5000 0.5000 0.5000  4 Pm 2.30

Calculated values
The uncorrected formation energy is -2.041 eV per atom. The calculation puts the volume at 208.1 Å³ per cell. The value obtained for the total energy is -7.367 eV per atom.

---

(3)
Entry from Alexandria: a geometry-optimized PuTl3Cu2Cl9 structure (PBE).

Cell lengths 7.1942, 7.1942, 8.9967 Å; angles 90.00, 90.00, 120.00 degrees
Closest atoms and distances in Å follow each position.
Fractional coordinates of all 15 atoms:
Pu: 0.0000 0.0000 0.5000  6 Cl 2.65
Tl: 0.3333 0.6667 0.7291  3 Cl 3.20
Tl: 0.0000 0.0000 0.0000  12 Cl 3.60
Tl: 0.6667 0.3333 0.2709  3 Cl 3.20
Cu: 0.3333 0.6667 0.1499  6 Cl 2.48-2.56
Cu: 0.6667 0.3333 0.8501  6 Cl 2.48-2.56
Cl: 0.8295 0.1705 0.6766  1 Cu 2.56, 1 Pu 2.65
Cl: 0.8295 0.6590 0.6766  1 Cu 2.56, 1 Pu 2.65
Cl: 0.3410 0.1705 0.6766  1 Cu 2.56, 1 Pu 2.65
Cl: 0.6590 0.8295 0.3234  1 Cu 2.56, 1 Pu 2.65
Cl: 0.1705 0.3410 0.3234  1 Cu 2.56, 1 Pu 2.65
Cl: 0.1705 0.8295 0.3234  1 Cu 2.56, 1 Pu 2.65
Cl: 0.5000 0.0000 0.0000  2 Cu 2.48
Cl: 0.0000 0.5000 0.0000  2 Cu 2.48
Cl: 0.5000 0.5000 0.0000  2 Cu 2.48

Calculated values
The uncorrected formation energy is -1.075 eV per atom. The calculation puts the volume at 403.3 Å³ per cell. The value obtained for the total energy is -4.158 eV per atom.

---

(4)
Entry from Alexandria: a geometry-optimized Pm8Nd2Er3 structure (PBE).

Cell lengths 6.2751, 6.2685, 11.4587 Å; angles 79.45, 90.05, 99.60 degrees
Closest atoms and distances in Å follow each position.
Fractional coordinates of all 13 atoms:
Pm: 0.0800 0.4602 0.1505  6 Pm 3.56-3.63, 5 Er 3.57-3.63, 1 Nd 3.64
Pm: 0.9200 0.5398 0.8495  6 Pm 3.56-3.63, 5 Er 3.57-3.63, 1 Nd 3.64
Pm: 0.1561 0.9225 0.3036  2 Er 3.58-3.60, 7 Pm 3.61-3.70, 3 Nd 3.62-3.67
Pm: 0.8439 0.0775 0.6964  2 Er 3.58-3.60, 7 Pm 3.61-3.70, 3 Nd 3.62-3.67
Pm: 0.3078 0.8466 0.6187  1 Er 3.61, 7 Pm 3.61-3.70, 4 Nd 3.63-3.66
Pm: 0.3817 0.3076 0.7739  4 Er 3.56-3.61, 6 Pm 3.62-3.63, 2 Nd 3.66-3.68
Pm: 0.6183 0.6924 0.2261  4 Er 3.56-3.61, 6 Pm 3.62-3.63, 2 Nd 3.66-3.68
Pm: 0.6922 0.1534 0.3813  1 Er 3.61, 7 Pm 3.61-3.70, 4 Nd 3.63-3.66
Nd: 0.7694 0.6158 0.5396  10 Pm 3.62-3.68, 2 Nd 3.63
Nd: 0.2306 0.3842 0.4604  10 Pm 3.62-3.68, 2 Nd 3.63
Er: 0.0000 0.0000 0.0000  8 Pm 3.58-3.62, 4 Er 3.61-3.62
Er: 0.5394 0.2294 0.0749  8 Pm 3.56-3.63, 4 Er 3.58-3.62
Er: 0.4606 0.7706 0.9251  8 Pm 3.56-3.63, 4 Er 3.58-3.62

Calculated values
The calculation puts the energy above the most stable polymorph in this dataset at 0 meV/atom. The calculation puts the volume at 436.7 Å³ per cell. The formation energy comes out at 0.24 eV/f.u. The value obtained for the total energy is -4.692 eV per atom.

---

(5)
Entry from Alexandria: a geometry-optimized YScBiSb structure (PBE).

Cell lengths 5.1125, 5.1125, 11.6896 Å; angles 77.37, 77.37, 60.00 degrees
Closest atoms and distances in Å follow each position.
Fractional coordinates of all 8 atoms:
Y: 0.1061 0.1061 0.6818  4 Bi 3.06-3.30
Y: 0.8939 0.8939 0.3182  4 Bi 3.06-3.30
Sc: 0.7073 0.7073 0.8782  4 Sb 2.94-2.96, 1 Bi 3.04
Sc: 0.2927 0.2927 0.1218  4 Sb 2.94-2.96, 1 Bi 3.04
Bi: 0.7968 0.7968 0.6097  1 Sc 3.04, 4 Y 3.06-3.30
Bi: 0.2032 0.2032 0.3903  1 Sc 3.04, 4 Y 3.06-3.30
Sb: 0.6205 0.6205 0.1384  4 Sc 2.94-2.96
Sb: 0.3795 0.3795 0.8616  4 Sc 2.94-2.96

Calculated values
The uncorrected formation energy is -0.580 eV per atom. The calculation puts the volume at 256.0 Å³ per cell. The value obtained for the total energy is -5.780 eV per atom.